First-principles (GGA-PBE) data for a relaxed structure of ZnCr2Ru, as listed in Alexandria.

a = 2.9809 Å, b = 2.9809 Å, c = 5.9519 Å
α = 90.00°, β = 90.00°, γ = 90.00°
Closest atoms and distances in Å follow each position.
Space group P4mm (No. 99)
Asymmetric unit:
Zn 0.0000 0.0000 0.0000 [1 per cell]  5 Cr 2.63-2.91, 4 Ru 2.64
Cr 0.0000 0.0000 0.4881 [1 per cell]  4 Cr 2.50, 4 Ru 2.57
Cr 0.5000 0.5000 0.2634 [1 per cell]  4 Cr 2.50, 4 Zn 2.63
Ru 0.5000 0.5000 0.7341 [1 per cell]  5 Cr 2.57-2.80, 4 Zn 2.64

Values from the calculation:
For the calculated formation energy, the calculation gives 0.073 eV/atom. Its crystal system is tetragonal. The total magnetic moment comes out at 1.66 μB/f.u. As for the total energy: -0.2711 hartree per atom.


First-principles (GGA-PBE) data for a relaxed structure of Tl2CdCl, as listed in Alexandria.

a = 3.7308 Å, b = 3.7308 Å, c = 28.7523 Å
α = 90.00°, β = 90.00°, γ = 120.00°
Closest atoms and distances in Å follow each position.
Space group R3m (No. 160, hexagonal axes)
Asymmetric unit:
Tl 0.0000 0.0000 0.0000 [3 per cell]  3 Cl 3.38, 9 Tl 3.53-3.73
Tl 0.0000 0.0000 0.2361 [3 per cell]  3 Cd 3.20, 3 Tl 3.53
Cd 0.0000 0.0000 0.4870 [3 per cell]  3 Cl 2.82
Cl 0.0000 0.0000 0.7572 [3 per cell]  3 Cd 2.82

Values from the calculation:
The calculation puts the uncorrected formation energy at -133.2 kJ/mol of formula units. Its crystal system is trigonal. The total magnetic moment comes out at 0.00 μB/f.u. The value obtained for the distance to the lowest polymorph of the same formula is 0.16 eV per formula unit. As for the total energy: -0.0815 hartree per atom.